(1)
This record from Alexandria via LeMat-Bulk describes a geometry-optimized NaZnP2S structure. The functional is GGA-PBE.

**Formation energy without anion corrections**: 0.4505 eV/atom
**DFT total energy**: -3.058 eV/atom
**Total moment**: 0.7 μB per formula unit

Unit cell a=4.6418 b=4.6418 c=5.0641 alpha=90.00 beta=90.00 gamma=90.00
Space group P4/mmm (No. 123)
One atom of each set of equivalent atoms:
Na1 0.0000 0.0000 0.0000 x1
Zn1 0.5000 0.5000 0.5000 x1
P1 0.0000 0.5000 0.5000 x2
S1 0.5000 0.5000 0.0000 x1

(2)
This record from Alexandria via LeMat-Bulk describes a geometry-optimized Sm2Ge3Ir5 structure. The functional is GGA-PBE.

**DFT total energy**: -7.305 eV/atom
**Total moment**: 0.0 μB per formula unit
**Energy of formation from the pure elements**: -545.5 meV per atom

Unit cell a=4.2163 b=24.4687 c=6.8323 alpha=90.00 beta=90.00 gamma=90.00
Space group Cmc2_1 (No. 36)
One atom of each set of equivalent atoms:
Sm1 0.0000 0.0224 0.0000 x4
Sm2 0.0000 0.3247 0.9855 x4
Ge1 0.0000 0.1113 0.2761 x4
Ge2 0.0000 0.2664 0.4732 x4
Ge3 0.0000 0.4533 0.2026 x4
Ir1 0.0000 0.1006 0.6589 x4
Ir2 0.0000 0.2070 0.1703 x4
Ir3 0.0000 0.2077 0.7716 x4
Ir4 0.0000 0.3672 0.4407 x4
Ir5 0.0000 0.4432 0.8332 x4

(3)
This record from Alexandria via LeMat-Bulk describes a geometry-optimized KTl2CoAu structure. The functional is GGA-PBE.

**DFT total energy**: -3.156 eV/atom
**Total moment**: 0.0 μB per formula unit
**Energy of formation from the pure elements**: 86.8 meV per atom

Unit cell a=5.0488 b=5.0488 c=5.2306 alpha=90.00 beta=90.00 gamma=90.00
Space group P4/mmm (No. 123)
One atom of each set of equivalent atoms:
K1 0.0000 0.0000 0.0000 x1
Tl1 0.0000 0.5000 0.5000 x2
Co1 0.5000 0.5000 0.5000 x1
Au1 0.5000 0.5000 0.0000 x1

(4)
This record from Alexandria via LeMat-Bulk describes a geometry-optimized TaBe2Au structure. The functional is GGA-PBE.

**DFT total energy**: -5.635 eV/atom
**Total moment**: 0.0 μB per formula unit
**Energy of formation from the pure elements**: 10.4 meV per atom

Unit cell a=2.8832 b=3.7767 c=5.1227 alpha=90.00 beta=90.00 gamma=90.00
Space group Pmmm (No. 47)
One atom of each set of equivalent atoms:
Ta1 0.0000 0.0000 0.0000 x1
Be1 0.5000 0.5000 0.2123 x2
Au1 0.5000 0.0000 0.5000 x1

(5)
This record from Alexandria via LeMat-Bulk describes a geometry-optimized La4Tb2NdHo structure. The functional is GGA-PBE.

**DFT total energy**: -4.703 eV/atom
**Total moment**: 0.0 μB per formula unit
**Energy of formation from the pure elements**: 86.1 meV per atom

Unit cell a=6.0234 b=6.0154 c=7.7004 alpha=90.00 beta=90.02 gamma=90.00
Space group P2/m (No. 10)
One atom of each set of equivalent atoms:
La1 0.9996 0.0000 0.2426 x2
La2 0.4989 0.5000 0.7578 x2
Tb1 0.0000 0.5000 0.5000 x1
Tb2 0.5000 0.0000 0.0000 x1
Nd1 0.5000 0.0000 0.5000 x1
Ho1 0.0000 0.5000 0.0000 x1

(6)
This record from Alexandria via LeMat-Bulk describes a geometry-optimized BeAlS2 structure. The functional is GGA-PBE.

**Formation energy without anion corrections**: 0.1236 eV/atom
**DFT total energy**: -3.807 eV/atom
**Total moment**: 0.0 μB per formula unit

Unit cell a=6.0768 b=6.0768 c=6.0768 alpha=90.00 beta=90.00 gamma=90.00
Space group Fm-3m (No. 225)
One atom of each set of equivalent atoms:
Be1 0.0000 0.0000 0.0000 x4
Al1 0.0000 0.0000 0.5000 x4
S1 0.2500 0.2500 0.2500 x8

(7)
This record from Alexandria via LeMat-Bulk describes a geometry-optimized RbPr4Hg5 structure. The functional is GGA-PBE.

**DFT total energy**: -2.562 eV/atom
**Total moment**: 1.3 μB per formula unit
**Energy of formation from the pure elements**: -402.5 meV per atom

Unit cell a=3.8922 b=3.8922 c=20.4317 alpha=90.00 beta=90.00 gamma=90.00
Space group P4/mmm (No. 123)
One atom of each set of equivalent atoms:
Rb1 0.0000 0.0000 0.0000 x1
Pr1 0.0000 0.0000 0.2181 x2
Pr2 0.0000 0.0000 0.4064 x2
Hg1 0.5000 0.5000 0.1309 x2
Hg2 0.5000 0.5000 0.3122 x2
Hg3 0.5000 0.5000 0.5000 x1

(8)
This record from Alexandria via LeMat-Bulk describes a geometry-optimized UMnTlTe3 structure. The functional is GGA-PBE.

**Formation energy without anion corrections**: -0.3880 eV/atom
**DFT total energy**: -5.763 eV/atom
**Total moment**: 6.9 μB per formula unit

Unit cell a=9.6895 b=4.3736 c=10.1306 alpha=90.00 beta=107.82 gamma=90.00
Space group P2_1/m (No. 11)
One atom of each set of equivalent atoms:
U1 0.1699 0.2500 0.1497 x2
Mn1 0.4200 0.7500 0.4074 x2
Tl1 0.3026 0.7500 0.7700 x2
Te1 0.0486 0.2500 0.8299 x2
Te2 0.2853 0.2500 0.4714 x2
Te3 0.3924 0.7500 0.1328 x2

(9)
This record from Alexandria via LeMat-Bulk describes a geometry-optimized NdCu2Cl6 structure. The functional is GGA-PBE.

**Formation energy without anion corrections**: -1.2495 eV/atom
**DFT total energy**: -3.921 eV/atom
**Total moment**: 0.9 μB per formula unit

Unit cell a=13.6807 b=12.2272 c=6.6336 alpha=90.00 beta=103.53 gamma=90.00
Space group C2/c (No. 15)
One atom of each set of equivalent atoms:
Nd1 0.0000 0.1075 0.2500 x4
Cu1 0.1304 0.4249 0.2265 x8
Cl1 0.1146 0.0626 0.6372 x8
Cl2 0.1277 0.4200 0.5631 x8
Cl3 0.1301 0.2513 0.1316 x8

(10)
This record from Alexandria via LeMat-Bulk describes a geometry-optimized Th5FeSn2 structure. The functional is GGA-PBE.

**DFT total energy**: -7.065 eV/atom
**Total moment**: 0.0 μB per formula unit
**Energy of formation from the pure elements**: -368.8 meV per atom

Unit cell a=8.1666 b=12.4920 c=4.5730 alpha=90.00 beta=90.00 gamma=90.00
Space group Pbam (No. 55)
One atom of each set of equivalent atoms:
Th1 0.0000 0.0000 0.0000 x2
Th2 0.1252 0.3069 0.0000 x4
Th3 0.1918 0.5613 0.5000 x4
Fe1 0.0000 0.5000 0.0000 x2
Sn1 0.0858 0.8236 0.5000 x4

(11)
This record from Alexandria via LeMat-Bulk describes a geometry-optimized RbPdOF2 structure. The functional is GGA-PBE.

**Formation energy without anion corrections**: -1.4510 eV/atom
**DFT total energy**: -4.423 eV/atom
**Total moment**: 1.1 μB per formula unit

Unit cell a=4.5245 b=4.5245 c=3.8798 alpha=90.00 beta=90.00 gamma=90.00
Space group P4/mmm (No. 123)
One atom of each set of equivalent atoms:
Rb1 0.0000 0.0000 0.0000 x1
Pd1 0.5000 0.5000 0.5000 x1
O1 0.5000 0.5000 0.0000 x1
F1 0.0000 0.5000 0.5000 x2

(12)
This record from Alexandria via LeMat-Bulk describes a geometry-optimized Zn2Cu15Au2 structure. The functional is GGA-PBE.

**DFT total energy**: -3.645 eV/atom
**Total moment**: 0.0 μB per formula unit
**Energy of formation from the pure elements**: 68.2 meV per atom

Unit cell a=8.3610 b=8.3610 c=12.5992 alpha=90.00 beta=90.00 gamma=120.00
Space group R-3m (No. 166, hexagonal axes)
One atom of each set of equivalent atoms:
Zn1 0.0000 0.0000 0.1045 x6
Cu1 0.0000 0.3148 0.0000 x18
Cu2 0.0000 0.5000 0.5000 x9
Cu3 0.0046 0.5023 0.1580 x18
Au1 0.0000 0.0000 0.3578 x6